Version i
Below is TcB3 after structural relaxation, with properties calculated at the PBE level.

POSCAR file:
```
TcB3
1.0
-0.5369 -1.9788 3.8047
3.2442 -2.8345 0.3468
2.8690 1.7837 2.6957
B Tc
6 2
Direct
0.6715 0.0000 0.3285
0.3285 0.0000 0.6715
0.0000 0.6715 0.3285
0.3285 0.6715 0.0000
0.0000 0.3285 0.6715
0.6715 0.3285 0.0000
0.8152 0.8152 0.8152
0.1848 0.1848 0.1848
```

=====

Version ii
Below is TcB3 after structural relaxation, with properties calculated at the PBE level.

POSCAR file:
```
TcB3
1.0
2.8908 0.0000 0.0000
-1.4454 2.5035 0.0000
0.0000 0.0000 9.2690
B Tc
6 2
Direct
0.6667 0.3333 0.1624
0.0000 0.0000 0.2500
0.6667 0.3333 0.3376
0.3333 0.6667 0.6624
0.0000 0.0000 0.7500
0.3333 0.6667 0.8376
0.0000 0.0000 0.0000
0.0000 0.0000 0.5000
```

=====

Taking the most stable structure as the zero point, the relative energies in eV/atom are version i 0.119; version ii 0.000.

=====

Version i
Below is KPPtO after structural relaxation, with properties calculated at the PBE level.

POSCAR file:
```
KPPtO
1.0
-2.0750 1.6335 3.2492
-1.1529 -3.8433 1.1959
8.2901 -0.7259 5.6592
K O P Pt
2 2 2 2
Direct
0.0000 0.0000 0.1513
0.5000 0.5000 0.8487
0.5000 0.0000 0.0000
0.0000 0.5000 0.0000
0.0000 0.0000 0.6156
0.5000 0.5000 0.3844
0.0000 0.5000 0.5000
0.5000 0.0000 0.5000
```

=====

Version ii
Below is KPPtO after structural relaxation, with properties calculated at the PBE level.

POSCAR file:
```
KPPtO
1.0
4.4032 0.0000 0.0000
0.0000 4.4032 0.0000
0.0000 0.0000 8.7727
O Pt P K
2 2 2 2
Direct
0.0000 0.5000 0.0000
0.5000 0.0000 0.0000
0.0000 0.0000 0.2584
0.5000 0.5000 0.7416
0.0000 0.0000 0.0120
0.5000 0.5000 0.9880
0.5000 0.0000 0.5000
0.0000 0.5000 0.5000
```

=====

Taking the most stable structure as the zero point, the relative energies in eV/atom are version i 0.000; version ii 0.618.

=====

Version i
Below is Nb after structural relaxation, with properties calculated at the PBE level.

POSCAR file:
```
Nb
1.0
-1.2549 -2.6811 1.0304
-0.1229 0.4103 3.1051
-1.0909 1.9024 -2.2395
Nb
1
Direct
0.0000 0.0000 0.0000
```

=====

Version ii
Below is Nb after structural relaxation, with properties calculated at the PBE level.

POSCAR file:
```
Nb
1.0
2.7330 1.5779 9.5463
-2.7330 1.5779 9.5463
0.0000 -3.1558 9.5463
Nb
13
Direct
0.0000 0.0000 0.0000
0.4559 0.4559 0.4559
0.9086 0.9086 0.4141
0.5441 0.5441 0.5441
0.6483 0.6483 0.6483
0.5859 0.0914 0.0914
0.4141 0.9086 0.9086
0.1675 0.1675 0.1675
0.8325 0.8325 0.8325
0.0914 0.5859 0.0914
0.9086 0.4141 0.9086
0.0914 0.0914 0.5859
0.3517 0.3517 0.3517
```

=====

Taking the most stable structure as the zero point, the relative energies in eV/atom are version i 0.000; version ii 0.029.

=====

Version i
Below is ZrScTeC after structural relaxation, with properties calculated at the PBE level.

POSCAR file:
```
ZrScTeC
1.0
-2.0373 -0.5777 2.8680
3.5433 -0.3133 0.2381
0.9206 12.8770 3.2475
Te Zr Sc C
2 2 2 2
Direct
0.6667 0.3333 0.2507
0.3333 0.6667 0.7493
0.3333 0.6667 0.4105
0.6667 0.3333 0.5895
0.6667 0.3333 0.9119
0.3333 0.6667 0.0881
0.0000 0.0000 0.5000
0.0000 0.0000 0.0000
```

=====

Version ii
Below is ZrScTeC after structural relaxation, with properties calculated at the PBE level.

POSCAR file:
```
ZrScTeC
1.0
3.5402 0.0000 0.0000
-1.7701 3.0659 0.0000
0.0000 0.0000 13.4213
Te Zr Sc C
2 2 2 2
Direct
0.6667 0.3333 0.5000
0.3333 0.6667 0.0000
0.3333 0.6667 0.6620
0.3333 0.6667 0.3380
0.6667 0.3333 0.1600
0.6667 0.3333 0.8400
0.0000 0.0000 0.7494
0.0000 0.0000 0.2506
```

=====

Taking the most stable structure as the zero point, the relative energies in eV/atom are version i 0.000; version ii 0.012.

=====

Version i
Below is KPIrO after structural relaxation, with properties calculated at the PBE level.

POSCAR file:
```
KPIrO
1.0
-0.5431 3.3988 1.8456
-2.5513 -1.7156 2.4086
8.0433 -2.4094 6.8037
O K P Ir
2 2 2 2
Direct
0.5000 0.5000 0.0000
0.0000 0.0000 0.0000
0.5000 0.0000 0.8449
0.0000 0.5000 0.1551
0.0000 0.5000 0.6205
0.5000 0.0000 0.3795
0.5000 0.5000 0.5000
0.0000 0.0000 0.5000
```

=====

Version ii
Below is KPIrO after structural relaxation, with properties calculated at the PBE level.

POSCAR file:
```
KPIrO
1.0
3.7918 0.0000 0.0000
0.0000 6.0500 0.0000
0.0000 0.0000 7.2826
K Ir P O
2 2 2 2
Direct
0.5000 0.6644 0.5827
0.5000 0.3356 0.0827
0.0000 0.1656 0.4652
0.0000 0.8344 0.9652
0.0000 0.1121 0.7680
0.0000 0.8879 0.2680
0.5000 0.7392 0.9382
0.5000 0.2608 0.4382
```

=====

Taking the most stable structure as the zero point, the relative energies in eV/atom are version i 0.094; version ii 0.000.

=====

Version i
Below is NbTlCuHg after structural relaxation, with properties calculated at the PBE level.

POSCAR file:
```
NbTlCuHg
1.0
1.1213 -4.6304 -0.4611
-2.7393 -3.3422 2.0583
-2.7202 -2.8633 -2.7041
Nb Cu Tl Hg
1 1 1 1
Direct
0.2500 0.2500 0.2500
0.7500 0.7500 0.7500
0.0000 0.0000 0.0000
0.5000 0.5000 0.5000
```

=====

Version ii
Below is NbTlCuHg after structural relaxation, with properties calculated at the PBE level.

POSCAR file:
```
NbTlCuHg
1.0
0.0000 3.3987 3.3987
3.3987 0.0000 3.3987
3.3987 3.3987 0.0000
Hg Tl Nb Cu
1 1 1 1
Direct
0.2500 0.2500 0.2500
0.0000 0.0000 0.0000
0.5000 0.5000 0.5000
0.7500 0.7500 0.7500
```

=====

Taking the most stable structure as the zero point, the relative energies in eV/atom are version i 0.000; version ii 0.099.

=====

Version i
Below is YNbGa after structural relaxation, with properties calculated at the PBE level.

POSCAR file:
```
YNbGa
1.0
0.0000 3.4120 3.4120
3.4120 0.0000 3.4120
3.4120 3.4120 0.0000
Nb Ga Y
1 1 1
Direct
0.7500 0.7500 0.7500
0.2500 0.2500 0.2500
0.0000 0.0000 0.0000
```

=====

Version ii
Below is YNbGa after structural relaxation, with properties calculated at the PBE level.

POSCAR file:
```
YNbGa
1.0
0.0000 3.3593 3.3593
3.3593 0.0000 3.3593
3.3593 3.3593 0.0000
Nb Ga Y
1 1 1
Direct
0.2500 0.2500 0.2500
0.5000 0.5000 0.5000
0.0000 0.0000 0.0000
```

=====

Taking the most stable structure as the zero point, the relative energies in eV/atom are version i 0.300; version ii 0.000.

=====

Version i
Below is Zr after structural relaxation, with properties calculated at the PBE level.

POSCAR file:
```
Zr
1.0
2.1804 2.2319 -0.4821
1.8136 -1.2877 2.2408
-0.9768 -1.8137 -2.4760
Zr
1
Direct
0.0000 0.0000 0.0000
```

=====

Version ii
Below is Zr after structural relaxation, with properties calculated at the PBE level.

POSCAR file:
```
Zr
1.0
1.2923 -4.3739 8.3394
-6.7252 6.6535 0.9207
-2.7059 -6.3582 -6.5267
Zr
29
Direct
0.6348 0.8226 0.6348
0.6727 0.3889 0.0000
0.6229 0.0000 0.0000
0.8123 0.1774 0.8123
0.3889 0.6727 0.0000
0.6111 0.6111 0.2838
0.6348 0.6348 0.8226
0.3273 0.7162 0.3273
0.3652 0.0000 0.1877
0.1877 0.3652 0.0000
0.8226 0.6348 0.6348
0.0000 0.6727 0.3889
0.0000 0.1877 0.3652
0.2838 0.6111 0.6111
0.6727 0.0000 0.3889
0.1774 0.8123 0.8123
0.6111 0.2838 0.6111
0.3652 0.1877 0.0000
0.7162 0.3273 0.3273
0.0000 0.0000 0.0000
0.0000 0.0000 0.6229
0.3273 0.3273 0.7162
0.0000 0.3889 0.6727
0.1877 0.0000 0.3652
0.0000 0.6229 0.0000
0.3771 0.3771 0.3771
0.3889 0.0000 0.6727
0.0000 0.3652 0.1877
0.8123 0.8123 0.1774
```

=====

Taking the most stable structure as the zero point, the relative energies in eV/atom are version i 0.000; version ii 0.091.

=====

Version i
Below is SmErZn2Sn2 after structural relaxation, with properties calculated at the PBE level.

POSCAR file:
```
SmErZn2Sn2
1.0
4.5292 0.0000 0.0000
-2.2646 3.9224 0.0000
0.0000 0.0000 15.8049
Sn Zn Er Sm
4 4 2 2
Direct
0.3333 0.6667 0.1107
0.6667 0.3333 0.8893
0.3333 0.6667 0.3893
0.6667 0.3333 0.6107
0.3333 0.6667 0.8438
0.6667 0.3333 0.3438
0.3333 0.6667 0.6562
0.6667 0.3333 0.1562
0.0000 0.0000 0.0000
0.0000 0.0000 0.5000
0.0000 0.0000 0.7500
0.0000 0.0000 0.2500
```

=====

Version ii
Below is SmErZn2Sn2 after structural relaxation, with properties calculated at the PBE level.

POSCAR file:
```
SmErZn2Sn2
1.0
4.5107 0.0000 0.0000
-2.2553 3.9064 0.0000
0.0000 0.0000 15.9591
Zn Sm Sn Er
4 2 4 2
Direct
0.6667 0.3333 0.1620
0.6667 0.3333 0.3380
0.3333 0.6667 0.6620
0.3333 0.6667 0.8380
0.0000 0.0000 0.0000
0.0000 0.0000 0.5000
0.6667 0.3333 0.6167
0.3333 0.6667 0.3833
0.3333 0.6667 0.1167
0.6667 0.3333 0.8833
0.0000 0.0000 0.7500
0.0000 0.0000 0.2500
```

=====

Taking the most stable structure as the zero point, the relative energies in eV/atom are version i 0.016; version ii 0.000.

=====

Version i
Below is LuTeAuO after structural relaxation, with properties calculated at the PBE level.

POSCAR file:
```
LuTeAuO
1.0
-3.9070 2.9312 -2.7182
-3.3281 -0.2795 4.4823
3.9874 8.5551 3.4940
Au O Te Lu
4 4 4 4
Direct
0.2498 0.2498 0.4995
0.2498 0.7502 0.4995
0.7502 0.7502 0.4995
0.7502 0.2498 0.4995
0.2501 0.2501 0.0004
0.7499 0.7499 0.0004
0.2501 0.7499 0.0004
0.7499 0.2501 0.0004
0.5000 0.0000 0.2805
0.0000 0.5000 0.2805
0.5000 0.5000 0.7177
0.0000 0.0000 0.7202
0.5000 0.5000 0.1023
0.0000 0.0000 0.1019
0.5000 0.0000 0.8987
0.0000 0.5000 0.8987
```

=====

Version ii
Below is LuTeAuO after structural relaxation, with properties calculated at the PBE level.

POSCAR file:
```
LuTeAuO
1.0
7.7990 0.0000 0.4444
0.0000 6.2150 0.0000
-0.4383 0.0000 6.1107
Te Lu Au O
4 4 4 4
Direct
0.1890 0.0795 0.8025
0.8110 0.9205 0.1975
0.8110 0.5795 0.6975
0.1890 0.4205 0.3025
0.4123 0.9855 0.2499
0.5877 0.0145 0.7501
0.5877 0.4855 0.2501
0.4123 0.5145 0.7499
0.1019 0.7007 0.9946
0.1019 0.7993 0.4946
0.8981 0.2007 0.5054
0.8981 0.2993 0.0054
0.4909 0.7401 0.0026
0.4909 0.7599 0.5026
0.5091 0.2599 0.9974
0.5091 0.2401 0.4974
```

=====

Taking the most stable structure as the zero point, the relative energies in eV/atom are version i 0.000; version ii 0.169.

=====

Version i
Below is KIr after structural relaxation, with properties calculated at the PBE level.

POSCAR file:
```
KIr
1.0
-0.7259 1.6605 2.1785
1.8190 -2.1371 0.3920
4.2584 3.4083 -1.1790
Ir K
1 1
Direct
0.6667 0.3333 0.7500
0.3333 0.6667 0.2500
```

=====

Version ii
Below is KIr after structural relaxation, with properties calculated at the PBE level.

POSCAR file:
```
KIr
1.0
0.0000 3.3757 3.3757
3.3757 0.0000 3.3757
3.3757 3.3757 0.0000
K Ir
1 1
Direct
0.5000 0.5000 0.5000
0.0000 0.0000 0.0000
```

=====

Taking the most stable structure as the zero point, the relative energies in eV/atom are version i 0.000; version ii 1.306.

=====

Version i
Below is LuMgGaPt after structural relaxation, with properties calculated at the PBE level.

POSCAR file:
```
LuMgGaPt
1.0
0.0000 3.3021 3.3021
3.3021 0.0000 3.3021
3.3021 3.3021 0.0000
Mg Lu Ga Pt
1 1 1 1
Direct
0.7500 0.7500 0.7500
0.0000 0.0000 0.0000
0.5000 0.5000 0.5000
0.2500 0.2500 0.2500
```

=====

Version ii
Below is LuMgGaPt after structural relaxation, with properties calculated at the PBE level.

POSCAR file:
```
LuMgGaPt
1.0
0.0000 3.2913 3.2913
3.2913 0.0000 3.2913
3.2913 3.2913 0.0000
Mg Lu Ga Pt
1 1 1 1
Direct
0.7500 0.7500 0.7500
0.0000 0.0000 0.0000
0.2500 0.2500 0.2500
0.5000 0.5000 0.5000
```

=====

Taking the most stable structure as the zero point, the relative energies in eV/atom are version i 0.000; version ii 0.049.